[1]
A relaxed Dy3Al2Zn3 crystal, computed with PBE.

Its size of the total moment is 0.00 Bohr magnetons per cell.

The space group is Cmcm (No. 63) and the conventional cell measures 4.404, 10.671 and 14.561 Å, with angles of 90.00, 90.00 and 90.00 degrees. The asymmetric unit holds Dy at (0.000, 0.087, 0.111), Dy at (0.000, 0.371, 0.250), Al at (0.000, 0.207, 0.596), Zn at (0.000, 0.338, 0.750) and Zn at (0.000, 0.389, 0.037).


[2]
A relaxed DyAl2Zn crystal, computed with PBE.

Its size of the total moment is 0.00 Bohr magnetons per cell.

The space group is Fm-3m (No. 225) and the conventional cell measures 6.781, 6.781 and 6.781 Å, with angles of 90.00, 90.00 and 90.00 degrees. The asymmetric unit holds Dy at (0.000, 0.000, 0.000), Al at (0.250, 0.250, 0.250) and Zn at (0.000, 0.000, 0.500).


[3]
A relaxed Dy8Al2Zn crystal, computed with PBE.

Its size of the total moment is 0.00 Bohr magnetons per cell.

The space group is C2/m (No. 12) and the conventional cell measures 18.215, 5.085 and 6.702 Å, with angles of 90.00, 103.56 and 90.00 degrees. The asymmetric unit holds Dy at (0.021, 0.000, 0.271), Dy at (0.094, 0.500, 0.961), Dy at (0.156, 0.500, 0.465), Dy at (0.205, 0.000, 0.797), Al at (0.188, 0.000, 0.241) and Zn at (0.000, 0.500, 0.500).


[4]
A relaxed DyAlZn crystal, computed with PBE.

Its size of the total moment is 0.00 Bohr magnetons per cell.

The space group is P-6m2 (No. 187) and the conventional cell measures 4.4929, 4.4929 and 3.5426 Å, with angles of 90.00, 90.00 and 120.00 degrees. The asymmetric unit holds Dy at (0.0000, 0.0000, 0.0000), Al at (0.3333, 0.6667, 0.5000) and Zn at (0.6667, 0.3333, 0.5000).


[5]
A relaxed Dy2Al3Zn9 crystal, computed with PBE.

Its size of the total moment is 0.00 Bohr magnetons per cell.

The space group is Cmcm (No. 63) and the conventional cell measures 13.291, 7.798 and 9.289 Å, with angles of 90.00, 90.00 and 90.00 degrees. The asymmetric unit holds Dy at (0.163, 0.162, 0.250), Al at (0.000, 0.000, 0.000), Al at (0.184, 0.500, 0.000), Zn at (0.000, 0.140, 0.750), Zn at (0.000, 0.338, 0.066), Zn at (0.098, 0.447, 0.750) and Zn at (0.159, 0.181, 0.588).


[6]
A relaxed Dy2Al3Zn4 crystal, computed with PBE.

Its size of the total moment is 0.00 Bohr magnetons per cell.

The space group is Cmce (No. 64) and the conventional cell measures 5.749, 15.340 and 7.646 Å, with angles of 90.00, 90.00 and 90.00 degrees. The asymmetric unit holds Dy at (0.000, 0.105, 0.099), Al at (0.000, 0.000, 0.500), Al at (0.250, 0.233, 0.750), Zn at (0.000, 0.173, 0.482) and Zn at (0.250, 0.065, 0.750).


[7]
A relaxed Dy2Al3Zn2 crystal, computed with PBE.

The calculation puts the energy above the most stable polymorph in this dataset at 0 meV/atom. Its size of the total moment is 0.00 Bohr magnetons per cell.

The space group is C2/m (No. 12) and the conventional cell measures 10.486, 4.304 and 6.707 Å, with angles of 90.00, 113.61 and 90.00 degrees. The asymmetric unit holds Dy at (0.150, 0.000, 0.276), Al at (0.000, 0.500, 0.500), Al at (0.100, 0.500, 0.928) and Zn at (0.148, 0.000, 0.747).


[8]
A relaxed DyAl6Zn12 crystal, computed with PBE.

Its size of the total moment is 0.00 Bohr magnetons per cell.

The space group is R-3m (No. 166, hexagonal axes) and the conventional cell measures 11.2979, 11.2979 and 9.1302 Å, with angles of 90.00, 90.00 and 120.00 degrees. The asymmetric unit holds Dy at (0.0000, 0.0000, 0.0000), Al at (0.0619, 0.5309, 0.2268), Zn at (0.0000, 0.3932, 0.5000) and Zn at (0.0801, 0.1602, 0.2845).


[9]
A relaxed Dy3AlZn8 crystal, computed with PBE.

Its size of the total moment is 0.00 Bohr magnetons per cell.

The space group is R3m (No. 160, hexagonal axes) and the conventional cell measures 5.4297, 5.4297 and 26.1693 Å, with angles of 90.00, 90.00 and 120.00 degrees. The asymmetric unit holds Dy at (0.0000, 0.0000, 0.0000), Dy at (0.0000, 0.0000, 0.1262), Dy at (0.0000, 0.0000, 0.5102), Al at (0.0000, 0.0000, 0.6321), Zn at (0.0000, 0.0000, 0.3162), Zn at (0.0000, 0.0000, 0.8148), Zn at (0.0010, 0.5005, 0.5658) and Zn at (0.0023, 0.5012, 0.0650).


[10]
A relaxed DyZrAl crystal, computed with PBE.

The calculation puts the energy above the most stable polymorph in this dataset at 0 meV/atom. Its size of the total moment is 0.00 Bohr magnetons per cell.

The space group is P-62m (No. 189) and the conventional cell measures 7.5015, 7.5015 and 4.4812 Å, with angles of 90.00, 90.00 and 120.00 degrees. The asymmetric unit holds Dy at (0.0000, 0.5799, 0.0000), Zr at (0.0000, 0.2374, 0.5000), Al at (0.0000, 0.0000, 0.0000) and Al at (0.3333, 0.6667, 0.5000).


[11]
A relaxed DyZrAl2 crystal, computed with PBE.

The calculation puts the energy above the most stable polymorph in this dataset at 227 meV/atom. Its size of the total moment is 0.00 Bohr magnetons per cell.

The space group is R-3m (No. 166, hexagonal axes) and the conventional cell measures 3.4225, 3.4225 and 27.0113 Å, with angles of 90.00, 90.00 and 120.00 degrees. The asymmetric unit holds Dy at (0.0000, 0.0000, 0.0000), Zr at (0.0000, 0.0000, 0.5000) and Al at (0.0000, 0.0000, 0.2458).


[12]
A relaxed DyZr3Al8 crystal, computed with PBE.

Its size of the total moment is 0.00 Bohr magnetons per cell.

The space group is P3m1 (No. 156) and the conventional cell measures 5.3474, 5.3474 and 8.8925 Å, with angles of 90.00, 90.00 and 120.00 degrees. The asymmetric unit holds Dy at (0.0000, 0.0000, 0.0000), Zr at (0.0000, 0.0000, 0.3708), Zr at (0.6667, 0.3333, 0.5008), Zr at (0.6667, 0.3333, 0.8619), Al at (0.1628, 0.3256, 0.6807), Al at (0.3333, 0.6667, 0.4362), Al at (0.3333, 0.6667, 0.9338) and Al at (0.5041, 0.0082, 0.1902).


[13]
A relaxed DyZr2Al6 crystal, computed with PBE.

The calculation puts the energy above the most stable polymorph in this dataset at 0 meV/atom. Its size of the total moment is 0.00 Bohr magnetons per cell.

The space group is P6/mmm (No. 191) and the conventional cell measures 7.7671, 7.7671 and 3.2669 Å, with angles of 90.00, 90.00 and 120.00 degrees. The asymmetric unit holds Dy at (0.0000, 0.0000, 0.0000), Zr at (0.3333, 0.6667, 0.0000) and Al at (0.0000, 0.3363, 0.5000).


[14]
A relaxed DyZrAl crystal, computed with PBE.

The calculation puts the energy above the most stable polymorph in this dataset at 6 meV/atom. Its size of the total moment is 0.00 Bohr magnetons per cell.

The space group is I4mm (No. 107) and the conventional cell measures 3.210, 3.210 and 13.509 Å, with angles of 90.00, 90.00 and 90.00 degrees. The asymmetric unit holds Dy at (0.000, 0.000, 0.000), Zr at (0.000, 0.000, 0.307) and Al at (0.000, 0.000, 0.664).


[15]
A relaxed DyZrAl4 crystal, computed with PBE.

Its size of the total moment is 0.00 Bohr magnetons per cell.

The space group is F-43m (No. 216) and the conventional cell measures 7.690, 7.690 and 7.690 Å, with angles of 90.00, 90.00 and 90.00 degrees. The asymmetric unit holds Dy at (0.000, 0.000, 0.000), Zr at (0.250, 0.250, 0.750) and Al at (0.125, 0.125, 0.375).


[16]
A relaxed DyZrAl crystal, computed with PBE.

The calculation puts the energy above the most stable polymorph in this dataset at 250 meV/atom. Its size of the total moment is 0.00 Bohr magnetons per cell.

The space group is P-6m2 (No. 187) and the conventional cell measures 5.0339, 5.0339 and 3.0369 Å, with angles of 90.00, 90.00 and 120.00 degrees. The asymmetric unit holds Dy at (0.0000, 0.0000, 0.0000), Zr at (0.3333, 0.6667, 0.0000) and Al at (0.6667, 0.3333, 0.5000).


[17]
A relaxed DyZr5Al3 crystal, computed with PBE.

Its size of the total moment is 0.00 Bohr magnetons per cell.

The space group is P6_3/mcm (No. 193) and the conventional cell measures 8.5801, 8.5801 and 6.0192 Å, with angles of 90.00, 90.00 and 120.00 degrees. The asymmetric unit holds Dy at (0.0000, 0.0000, 0.0000), Zr at (0.0000, 0.3360, 0.2500), Zr at (0.3333, 0.6667, 0.0000) and Al at (0.0000, 0.3386, 0.7500).


[18]
A relaxed DyZrAl2 crystal, computed with PBE.

The calculation puts the energy above the most stable polymorph in this dataset at 59 meV/atom. Its size of the total moment is 0.01 Bohr magnetons per cell.

The space group is Fm-3m (No. 225) and the conventional cell measures 6.981, 6.981 and 6.981 Å, with angles of 90.00, 90.00 and 90.00 degrees. The asymmetric unit holds Dy at (0.000, 0.000, 0.000), Zr at (0.000, 0.000, 0.500) and Al at (0.250, 0.250, 0.250).


[19]
A relaxed DyZrAl2 crystal, computed with PBE.

The calculation puts the energy above the most stable polymorph in this dataset at 0 meV/atom. Its size of the total moment is 0.00 Bohr magnetons per cell.

The space group is P4/mmm (No. 123) and the conventional cell measures 3.616, 3.616 and 6.536 Å, with angles of 90.00, 90.00 and 90.00 degrees. The asymmetric unit holds Dy at (0.000, 0.000, 0.000), Zr at (0.000, 0.000, 0.500) and Al at (0.500, 0.500, 0.282).


[20]
A relaxed Dy3ZrAl8 crystal, computed with PBE.

The calculation puts the energy above the most stable polymorph in this dataset at 13 meV/atom. Its size of the total moment is 0.00 Bohr magnetons per cell.

The space group is P3m1 (No. 156) and the conventional cell measures 5.4700, 5.4700 and 9.0853 Å, with angles of 90.00, 90.00 and 120.00 degrees. The asymmetric unit holds Dy at (0.0000, 0.0000, 0.0000), Dy at (0.0000, 0.0000, 0.3672), Dy at (0.3333, 0.6667, 0.8628), Zr at (0.3333, 0.6667, 0.4998), Al at (0.0087, 0.5044, 0.1872), Al at (0.3258, 0.1629, 0.6759), Al at (0.6667, 0.3333, 0.4320) and Al at (0.6667, 0.3333, 0.9302).


Number 1: formation energy -9.38 kcal/mol of atoms. Number 2: formation energy -1.85 kcal/mol of atoms. Number 3: formation energy -3.98 kcal/mol of atoms. Number 4: formation energy -10.64 kcal/mol of atoms. Number 5: formation energy -5.73 kcal/mol of atoms. Number 6: formation energy -7.54 kcal/mol of atoms. Number 7: formation energy -9.57 kcal/mol of atoms. Number 8: formation energy 1.24 kcal/mol of atoms. Number 9: formation energy -5.88 kcal/mol of atoms. Number 10: formation energy -4.98 kcal/mol of atoms. Number 11: formation energy -2.98 kcal/mol of atoms. Number 12: formation energy -11.92 kcal/mol of atoms. Number 13: formation energy -10.25 kcal/mol of atoms. Number 14: formation energy -4.83 kcal/mol of atoms. Number 15: formation energy -11.79 kcal/mol of atoms. Number 16: formation energy 0.80 kcal/mol of atoms. Number 17: formation energy -7.16 kcal/mol of atoms. Number 18: formation energy -6.87 kcal/mol of atoms. Number 19: formation energy -8.21 kcal/mol of atoms. Number 20: formation energy -11.51 kcal/mol of atoms.